(1)
Computed, not measured: Ti2NbIn after structural relaxation at the PBE level of DFT.

POSCAR file:
```
Ti2NbIn
1.0
-0.534 3.263 -1.658
-4.349 -0.321 0.768
0.534 2.060 3.883
Nb Ti In
1 2 1
direct
0.500 0.000 0.000 Nb
0.000 0.000 0.500 Ti
0.000 0.500 0.000 Ti
0.500 0.500 0.500 In
```

(2)
Computed, not measured: Ti7NbIn3 after structural relaxation at the PBE level of DFT.

POSCAR file:
```
Ti7NbIn3
1.0
-1.744 3.262 -2.862
-0.417 -6.377 -3.212
-5.252 -2.486 4.170
Ti Nb In
7 1 3
direct
0.216 0.217 0.217 Ti
0.286 0.991 0.582 Ti
0.714 0.418 0.009 Ti
0.286 0.582 0.991 Ti
0.000 0.500 0.500 Ti
0.714 0.009 0.418 Ti
0.784 0.783 0.783 Ti
0.500 0.500 0.500 Nb
0.000 0.788 0.212 In
0.500 0.000 0.000 In
0.000 0.212 0.788 In
```

(3)
Computed, not measured: TiNb2In2 after structural relaxation at the PBE level of DFT.

E above lowest polymorph = 0.328 eV per atom

POSCAR file:
```
TiNb2In2
1.0
-6.821 -1.081 4.740
-3.945 -3.541 -6.485
1.007 -2.662 0.841
Nb Ti In
4 2 4
direct
0.387 0.887 0.000 Nb
0.887 0.613 0.000 Nb
0.613 0.113 0.000 Nb
0.113 0.387 0.000 Nb
0.000 0.000 0.000 Ti
0.500 0.500 0.000 Ti
0.183 0.683 0.500 In
0.683 0.817 0.500 In
0.817 0.317 0.500 In
0.317 0.183 0.500 In
```

Number 1: magnetization 0.00 Bohr magnetons per cell, energy of formation -105.1 meV/atom. Number 2: magnetization 0.00 Bohr magnetons per cell, energy of formation 200.6 meV/atom. Number 3: magnetization 0.00 Bohr magnetons per cell, energy of formation 314.3 meV/atom.